PBE-GGA Ba2Te2Se5, relaxed; ρ = 4.722 g/cm³; space group = No. 46; energy relative to the elements, uncorrected = -860 meV per atom; E = -3.9217 eV per atom
1.0
-10.874 3.845 3.889
10.874 -3.845 3.889
10.874 3.845 -3.889
Ba Te Se
4 4 10
direct
0.020 0.102 0.122
0.020 0.398 0.419
0.980 0.602 0.581
0.980 0.898 0.878
0.427 0.741 0.186
0.480 0.480 0.000
0.480 0.980 0.500
0.554 0.241 0.814
0.064 0.704 0.860
0.387 0.063 0.586
0.387 0.301 0.824
0.477 0.563 0.176
0.477 0.801 0.414
0.492 0.227 0.249
0.492 0.744 0.765
0.844 0.204 0.140
0.978 0.244 0.751
0.978 0.727 0.235